# 1
Below is a relaxed Cs3Sc2Br9 crystal, with properties calculated at the GGA-PBE level.

Properties
- Symmetry: P6_3/mmc, No. 194
- Total magnetization: 0.000 μB/atom
- Uncorrected formation energy: -1.814 eV per atom

Unit cell a=7.876 b=7.876 c=19.904 alpha=90.00 beta=90.00 gamma=120.00
Sites, in units of the cell vectors:
Cs1 0.333 0.667 0.071
Cs2 0.667 0.333 0.929
Cs3 0.667 0.333 0.571
Cs4 0.333 0.667 0.429
Cs5 0.000 0.000 0.250
Cs6 0.000 0.000 0.750
Sc1 0.333 0.667 0.657
Sc2 0.667 0.333 0.343
Sc3 0.667 0.333 0.157
Sc4 0.333 0.667 0.843
Br1 0.172 0.344 0.591
Br2 0.828 0.656 0.409
Br3 0.656 0.828 0.591
Br4 0.828 0.656 0.091
Br5 0.344 0.172 0.409
Br6 0.172 0.344 0.909
Br7 0.172 0.828 0.591
Br8 0.344 0.172 0.091
Br9 0.828 0.172 0.409
Br10 0.656 0.828 0.909
Br11 0.828 0.172 0.091
Br12 0.172 0.828 0.909
Br13 0.513 0.026 0.250
Br14 0.487 0.974 0.750
Br15 0.974 0.487 0.250
Br16 0.026 0.513 0.750
Br17 0.513 0.487 0.250
Br18 0.487 0.513 0.750

=====

# 2
Below is a relaxed Cs3Sc2Br8 crystal, with properties calculated at the GGA-PBE level.

Properties
- Symmetry: R-3m, No. 166
- Total magnetization: 0.077 μB/atom
- Uncorrected formation energy: -1.666 eV per atom

Unit cell a=8.051 b=8.051 c=11.136 alpha=68.81 beta=68.81 gamma=60.00
Each line ends with the local moment (μB).
Sites, in units of the cell vectors:
Cs1 0.000 0.000 0.000  0.00
Cs2 0.796 0.796 0.613  0.00
Cs3 0.204 0.204 0.387  0.00
Sc1 0.594 0.594 0.219  0.41
Sc2 0.406 0.406 0.781  0.41
Br1 0.678 0.678 0.966  0.00
Br2 0.322 0.322 0.034  0.00
Br3 0.220 0.736 0.308  0.00
Br4 0.736 0.220 0.308  0.00
Br5 0.736 0.736 0.308  0.00
Br6 0.264 0.780 0.692  0.00
Br7 0.780 0.264 0.692  0.00
Br8 0.264 0.264 0.692  0.00

=====

# 3
Below is a relaxed CsScBr3 crystal, with properties calculated at the GGA-PBE level.

Properties
- Symmetry: P2_1/c, No. 14
- Total magnetization: 0.200 μB/atom
- Uncorrected formation energy: -1.578 eV per atom

Unit cell a=30.511 b=6.672 c=10.581 alpha=90.00 beta=160.11 gamma=90.00
Each line ends with the local moment (μB).
Sites, in units of the cell vectors:
Cs1 0.163 0.149 0.844  0.00
Cs2 0.837 0.851 0.156  0.00
Cs3 0.337 0.649 0.656  0.00
Cs4 0.663 0.351 0.344  0.00
Sc1 0.535 0.796 0.664  0.70
Sc2 0.465 0.204 0.336  0.70
Sc3 0.965 0.296 0.836  0.70
Sc4 0.035 0.704 0.164  0.70
Br1 0.295 0.902 0.935  0.00
Br2 0.705 0.098 0.065  0.00
Br3 0.205 0.402 0.565  0.00
Br4 0.795 0.598 0.435  0.00
Br5 0.430 0.423 0.460  0.00
Br6 0.570 0.577 0.540  0.00
Br7 0.070 0.923 0.040  0.00
Br8 0.930 0.077 0.960  0.00
Br9 0.500 0.887 0.819  0.00
Br10 0.500 0.113 0.181  0.00
Br11 0.000 0.387 0.681  0.00
Br12 0.000 0.613 0.319  0.00

=====

# 4
Below is a relaxed CsScBr3 crystal, with properties calculated at the GGA-PBE level.

Properties
- Symmetry: P4mm, No. 99
- Total magnetization: 0.200 μB/atom
- Uncorrected formation energy: -1.214 eV per atom

Unit cell a=4.997 b=4.997 c=8.842 alpha=90.00 beta=90.00 gamma=90.00
Each line ends with the local moment (μB).
Sites, in units of the cell vectors:
Cs1 0.000 0.000 0.130  0.00
Sc1 0.500 0.500 0.548  0.72
Br1 0.000 0.000 0.750  0.00
Br2 0.500 0.000 0.418  -0.01
Br3 0.000 0.500 0.418  -0.01

=====

# 5
Below is a relaxed CsScBr3 crystal, with properties calculated at the GGA-PBE level.

Properties
- Symmetry: Fd-3m, No. 227
- Total magnetization: 0.193 μB/atom
- Uncorrected formation energy: -1.516 eV per atom

Unit cell a=10.314 b=10.314 c=10.314 alpha=60.00 beta=60.00 gamma=60.00
Each line ends with the local moment (μB).
Sites, in units of the cell vectors:
Cs1 0.625 0.625 0.625  0.01
Cs2 0.625 0.625 0.125  0.01
Cs3 0.625 0.125 0.625  0.01
Cs4 0.125 0.625 0.625  0.01
Sc1 0.125 0.125 0.125  0.71
Sc2 0.125 0.125 0.625  0.71
Sc3 0.125 0.625 0.125  0.65
Sc4 0.625 0.125 0.125  0.45
Br1 0.193 0.807 0.193  0.00
Br2 0.443 0.057 0.443  0.00
Br3 0.057 0.443 0.443  0.00
Br4 0.057 0.443 0.057  0.00
Br5 0.057 0.057 0.443  -0.01
Br6 0.807 0.807 0.193  -0.01
Br7 0.443 0.443 0.057  -0.01
Br8 0.443 0.057 0.057  0.00
Br9 0.193 0.193 0.807  -0.01
Br10 0.807 0.193 0.807  0.00
Br11 0.807 0.193 0.193  0.00
Br12 0.193 0.807 0.807  0.00

=====

# 6
Below is a relaxed Cs4ScBr7 crystal, with properties calculated at the GGA-PBE level.

Properties
- Symmetry: C2/m, No. 12
- Total magnetization: 0.015 μB/atom
- Uncorrected formation energy: -1.560 eV per atom

Unit cell a=5.339 b=11.432 c=9.891 alpha=82.97 beta=74.34 gamma=76.50
Sites, in units of the cell vectors:
Cs1 0.612 0.237 0.539
Cs2 0.388 0.763 0.461
Cs3 0.729 0.643 0.900
Cs4 0.271 0.357 0.100
Sc1 0.000 0.000 0.000
Br1 0.723 0.898 0.657
Br2 0.277 0.102 0.343
Br3 0.043 0.793 0.121
Br4 0.957 0.207 0.879
Br5 0.377 0.504 0.743
Br6 0.500 0.000 0.000
Br7 0.623 0.496 0.257